A plane-wave DFT calculation with PBE was carried out for a relaxed Lu2MnOs crystal.

```
4
Lattice="-4.5617 -1.1464 0.9632 -1.9233 -3.9782 -1.8777 -0.9865 -3.7540 2.8259" Properties=species:S:1:pos:R:3 pbc="T T T"
Lu -5.6037 -6.6590 1.4336
Os 0.0000 0.0000 0.0000
Mn -3.7358 -4.4393 0.9557
Lu -1.8679 -2.2197 0.4779
```

Calculated values
The calculation puts the energy relative to the elements at -0.117 eV per atom. The value obtained for the spin magnetization is 3.630 μB/f.u. Its offset from the most stable computed form is 0.000 eV/atom.

A plane-wave DFT calculation with PBE was carried out for a relaxed Lu2MnOs crystal.

```
4
Lattice="-3.1375 -1.1779 -0.4446 0.0235 -1.2485 3.1416 -2.5717 5.9503 2.3840" Properties=species:S:1:pos:R:3 pbc="T T T"
Mn -2.8429 1.7620 2.5405
Os -1.5570 -1.2132 1.3485
Lu -0.6009 1.3903 0.5570
Lu -1.9708 4.5600 1.8270
```

Calculated values
The calculation puts the energy relative to the elements at -0.101 eV per atom. The value obtained for the spin magnetization is 3.324 μB/f.u. Its offset from the most stable computed form is 0.016 eV/atom.

A plane-wave DFT calculation with PBE was carried out for a relaxed LuMn4Os crystal.

```
6
Lattice="-0.2269 2.8348 -3.9001 2.6350 -1.0520 -3.9049 -2.1609 -1.5862 -4.0140" Properties=species:S:1:pos:R:3 pbc="T T T"
Mn 1.2534 0.9296 -5.3710
Lu 0.0000 0.0000 0.0000
Os 0.0618 0.0491 -2.9547
Mn 0.1550 0.1233 -7.4115
Mn 0.2703 -1.3177 -5.4289
Mn -1.1845 0.6581 -5.4265
```

Calculated values
The calculation puts the energy relative to the elements at 0.082 eV per atom. The value obtained for the spin magnetization is 0.000 μB/f.u.

A plane-wave DFT calculation with PBE was carried out for a relaxed LuScMnOs crystal.

```
4
Lattice="-3.1994 3.2677 1.1163 -4.1101 0.1490 -2.2902 -3.9686 -1.2475 2.2031" Properties=species:S:1:pos:R:3 pbc="T T T"
Lu -2.8195 0.5423 0.2573
Sc -8.4586 1.6268 0.7720
Mn 0.0000 0.0000 0.0000
Os -5.6391 1.0846 0.5146
```

Calculated values
The calculation puts the energy relative to the elements at -0.142 eV per atom. The value obtained for the spin magnetization is 3.436 μB/f.u.

A plane-wave DFT calculation with PBE was carried out for a relaxed TbLuMnOs crystal.

```
4
Lattice="4.8624 0.0000 0.0000 2.4312 4.2110 0.0000 2.4312 1.4037 3.9701" Properties=species:S:1:pos:R:3 pbc="T T T"
Lu 7.2936 4.2110 2.9776
Os 0.0000 0.0000 0.0000
Mn 4.8624 2.8073 1.9851
Tb 2.4312 1.4037 0.9925
```

Calculated values
The calculation puts the energy relative to the elements at -0.041 eV per atom. The value obtained for the spin magnetization is 3.641 μB/f.u.

A plane-wave DFT calculation with PBE was carried out for a relaxed LuThMnOs crystal.

```
4
Lattice="-3.8301 -3.0416 -0.3466 -0.5088 -3.6764 3.2040 -3.5652 0.1542 3.3625" Properties=species:S:1:pos:R:3 pbc="T T T"
Mn 0.0000 0.0000 0.0000
Lu -5.9280 -4.9228 4.6649
Th -1.9760 -1.6409 1.5550
Os -3.9520 -3.2819 3.1099
```

Calculated values
The calculation puts the energy relative to the elements at -0.077 eV per atom. The value obtained for the spin magnetization is 2.568 μB/f.u.